Material: Li2LaPr2Tl2
Method: DFT, GGA-PBE
State: optimized geometry

Unit cell a=4.9973 b=4.9973 c=9.6165 alpha=74.94 beta=74.94 gamma=60.00
Element x y z (fractional)
Li  0.3985  0.3985  0.8044
Li  0.6015  0.6015  0.1956
Pr  0.8724  0.8724  0.3829
Pr  0.1276  0.1276  0.6171
La  0.0000  0.0000  0.0000
Tl  0.2622  0.2622  0.2133
Tl  0.7378  0.7378  0.7867

Its formation energy is -0.223 eV/atom. The symmetry is R-3m (166).



Material: LiLaPrTl
Method: DFT, GGA-PBE
State: optimized geometry

Unit cell a=5.5278 b=5.5278 c=5.5278 alpha=60.00 beta=60.00 gamma=60.00
Element x y z (fractional)
Li  0.0000  0.0000  0.0000
Tl  0.5000  0.5000  0.5000
Pr  0.7500  0.7500  0.7500
La  0.2500  0.2500  0.2500

Its formation energy is -0.212 eV/atom. The symmetry is F-43m (216).



For reference, E by record: -3.52; -3.71 eV/atom.